Material: Pr2GdTa2O6
Method: DFT, PBE-GGA
State: relaxed

Its total energy is -0.6379 Ry/atom. Its mass density is 9.5 g cm⁻³. The magnetization is 0.0 μB per formula unit.

a b c (Å): 10.2179 10.2179 10.2179
angles (deg): 157.51 157.51 32.02
With the nearest neighbours (Å) after each atom.
Fractional coordinates of all 11 atoms:
1 Pr 0.8179 0.8179 0.0000  1 O 2.23
2 Pr 0.1821 0.1821 0.0000  1 O 2.23
3 Ta 0.4328 0.4328 0.0000  4 O 2.06
4 Ta 0.5672 0.5672 0.0000  4 O 2.06
5 O 0.4072 0.9072 0.5000  2 Ta 2.06
6 O 0.5928 0.0928 0.5000  2 Ta 2.06
7 O 0.7044 0.7044 0.0000  1 Pr 2.23
8 O 0.0928 0.5928 0.5000  2 Ta 2.06
9 O 0.2956 0.2956 0.0000  1 Pr 2.23
10 O 0.9072 0.4072 0.5000  2 Ta 2.06
11 Gd 0.0000 0.0000 0.0000  8 O 2.70

=====

Material: GdTePtO
Method: DFT, PBE-GGA
State: relaxed

Its total energy is -0.3875 Ry/atom. Its mass density is 10.1 g cm⁻³. The magnetization is 0.0 μB per formula unit.

a b c (Å): 4.8616 4.8616 8.4472
angles (deg): 73.28 106.72 120.00
With the nearest neighbours (Å) after each atom.
Fractional coordinates of all 8 atoms:
1 Gd 0.2183 0.7817 0.6550  1 O 2.07
2 Gd 0.7817 0.2183 0.3450  1 O 2.07
3 Te 0.9311 0.0689 0.7932  3 Pt 2.81, 3 O 2.97, 3 Gd 3.01
4 Te 0.0689 0.9311 0.2068  3 Pt 2.81, 3 O 2.97, 3 Gd 3.01
5 Pt 0.6053 0.3947 0.8158  1 O 2.15
6 Pt 0.3947 0.6053 0.1842  1 O 2.15
7 O 0.3048 0.6952 0.9144  1 Gd 2.07, 1 Pt 2.15
8 O 0.6952 0.3048 0.0856  1 Gd 2.07, 1 Pt 2.15